Computed, not measured: crystalline VCuHOs2 at its relaxed geometry at the PBE level of DFT.

Properties
- E: -0.2498 hartree per atom
- Crystal system: tetragonal

Unit cell a=4.6931 b=4.6931 c=2.8665 alpha=90.00 beta=90.00 gamma=90.00
Space group P4/mmm (No. 123)
Asymmetric unit:
V: 0.0000 0.0000 0.0000 x1
Cu: 0.5000 0.5000 0.5000 x1
H: 0.5000 0.5000 0.0000 x1
Os: 0.0000 0.5000 0.5000 x2

=====

Computed, not measured: crystalline BaLi3Pu4O12 at its relaxed geometry at the PBE level of DFT.

Properties
- Uncorrected formation energy: -53.4 eV/f.u.
- Crystal system: cubic

Unit cell a=8.1954 b=8.1954 c=8.1954 alpha=90.00 beta=90.00 gamma=90.00
Space group Im-3 (No. 204)
Asymmetric unit:
Ba: 0.0000 0.0000 0.0000 x2
Li: 0.0000 0.0000 0.5000 x6
Pu: 0.2500 0.2500 0.2500 x8
O: 0.0000 0.1813 0.3002 x24

=====

Computed, not measured: crystalline SrInFe2 at its relaxed geometry at the PBE level of DFT.

Properties
- ΔE_f: 0.606 eV/atom
- Crystal system: tetragonal

Unit cell a=4.9121 b=4.9121 c=6.9625 alpha=90.00 beta=90.00 gamma=90.00
Space group I-4m2 (No. 119)
Asymmetric unit:
Sr: 0.0000 0.0000 0.0000 x2
In: 0.0000 0.5000 0.2500 x2
Fe: 0.0000 0.0000 0.5000 x2
Fe: 0.0000 0.5000 0.7500 x2

=====

Computed, not measured: crystalline Na3TeH at its relaxed geometry at the PBE level of DFT.

Properties
- E above lowest polymorph: 497 meV/atom
- Crystal system: tetragonal

Unit cell a=5.7610 b=5.7610 c=20.9962 alpha=90.00 beta=90.00 gamma=90.00
Space group I-4m2 (No. 119)
Asymmetric unit:
Na: 0.0000 0.0000 0.2052 x4
Na: 0.0000 0.2416 0.6194 x8
Te: 0.0000 0.0000 0.5000 x2
Te: 0.0000 0.5000 0.7500 x2
H: 0.0000 0.5000 0.1618 x4

=====

Computed, not measured: crystalline BaTc2Rh at its relaxed geometry at the PBE level of DFT.

Properties
- ΔE_f: 1.000 eV/atom
- E above lowest polymorph: 619 meV/atom
- Crystal system: cubic

Unit cell a=6.7207 b=6.7207 c=6.7207 alpha=90.00 beta=90.00 gamma=90.00
Space group F-43m (No. 216)
Asymmetric unit:
Ba: 0.0000 0.0000 0.0000 x4
Tc: 0.0000 0.0000 0.5000 x4
Tc: 0.2500 0.2500 0.2500 x4
Rh: 0.2500 0.2500 0.7500 x4

=====

Computed, not measured: crystalline Sb2Pd5 at its relaxed geometry at the PBE level of DFT.

Properties
- Uncorrected formation energy: -3.1 eV/f.u.
- E above lowest polymorph: 0 meV/atom
- Crystal system: hexagonal

Unit cell a=7.7342 b=7.7342 c=14.0800 alpha=90.00 beta=90.00 gamma=120.00
Space group P6_3cm (No. 185)
Asymmetric unit:
Sb: 0.0000 0.0000 0.0000 x2
Sb: 0.0000 0.3316 0.2740 x6
Sb: 0.3333 0.6667 0.0492 x4
Pd: 0.0000 0.0000 0.2019 x2
Pd: 0.0000 0.2627 0.8722 x6
Pd: 0.0000 0.3085 0.0793 x6
Pd: 0.0000 0.3723 0.6802 x6
Pd: 0.0000 0.3732 0.4698 x6
Pd: 0.3333 0.6667 0.3454 x4

=====

Computed, not measured: crystalline Hf2MgSi at its relaxed geometry at the PBE level of DFT.

Properties
- Uncorrected formation energy: -0.2 eV/f.u.
- E above lowest polymorph: 0 meV/atom
- Crystal system: cubic

Unit cell a=6.6940 b=6.6940 c=6.6940 alpha=90.00 beta=90.00 gamma=90.00
Space group Fm-3m (No. 225)
Asymmetric unit:
Hf: 0.2500 0.2500 0.2500 x8
Mg: 0.0000 0.0000 0.0000 x4
Si: 0.0000 0.0000 0.5000 x4

=====

Computed, not measured: crystalline Na2AcFeH8 at its relaxed geometry at the PBE level of DFT.

Properties
- E: -0.1377 hartree per atom
- Crystal system: trigonal

Unit cell a=4.8133 b=4.8133 c=6.5187 alpha=90.00 beta=90.00 gamma=120.00
Space group P-3m1 (No. 164)
Asymmetric unit:
Na: 0.3333 0.6667 0.3785 x2
Ac: 0.0000 0.0000 0.0000 x1
Fe: 0.0000 0.0000 0.5000 x1
H: 0.1500 0.3000 0.6508 x6
H: 0.3333 0.6667 0.0315 x2

=====

no.,density (g cm⁻³),volume (Å³ per atom)
1,13.04,12.6
2,8.00,13.8
3,6.21,21.0
4,1.88,34.8
5,9.55,19.0
6,10.59,17.4
7,9.07,18.7
8,4.28,10.9